1.
{"formula": "Tl2CoBr", "functional": "PBE", "state": "relaxed", "lattice": [[3.2634, -1.8879, 0.0000], [3.2634, 1.8879, 0.0000], [-2.1334, 0.0000, 7.9193]], "species": ["Tl", "Tl", "Co", "Br"], "fractional_positions": [[0.2324, 0.2324, 0.2014], [0.7676, 0.7676, 0.7986], [0.5000, 0.5000, 0.0000], [0.0000, 0.0000, 0.5000]], "raw_formation_energy_ev_per_atom": 0.238, "space_group": "C2/m (12)", "e_above_lowest_polymorph_ev_per_atom": 0.1033, "crystal_system": "monoclinic"}

=====

2.
{"formula": "UCrB", "functional": "PBE", "state": "relaxed", "lattice": [[1.4248, -9.3597, 0.0000], [1.4248, 9.3597, 0.0000], [0.0000, 0.0000, 2.8535]], "species": ["U", "U", "Cr", "Cr", "B", "B"], "fractional_positions": [[0.1802, 0.8198, 0.7500], [0.8198, 0.1802, 0.2500], [0.4388, 0.5612, 0.7500], [0.5612, 0.4388, 0.2500], [0.0276, 0.9724, 0.7500], [0.9724, 0.0276, 0.2500]], "formation_energy_ev_per_atom": -0.2078, "space_group": "Cmcm (63)", "e_above_lowest_polymorph_ev_per_atom": 0.0000, "crystal_system": "orthorhombic"}

=====

3.
{"formula": "Sr2BTeOs", "functional": "PBE", "state": "relaxed", "lattice": [[5.6656, 0.0000, 0.0000], [0.0000, 5.6656, 0.0000], [0.0000, 0.0000, 4.0650]], "species": ["Sr", "Sr", "B", "Te", "Os"], "fractional_positions": [[0.0000, 0.5000, 0.0000], [0.5000, 0.0000, 0.0000], [0.0000, 0.0000, 0.0000], [0.5000, 0.5000, 0.5000], [0.0000, 0.0000, 0.5000]], "raw_formation_energy_ev_per_atom": -0.210, "space_group": "P4/mmm (123)", "crystal_system": "tetragonal"}

=====

4.
{"formula": "AlSb2W", "functional": "PBE", "state": "relaxed", "lattice": [[3.3553, 0.0000, 0.0000], [0.0000, 3.3553, 0.0000], [0.0000, 0.0000, 7.7603]], "species": ["Al", "Sb", "Sb", "W"], "fractional_positions": [[0.0000, 0.0000, 0.0000], [0.0000, 0.0000, 0.6246], [0.5000, 0.5000, 0.2305], [0.5000, 0.5000, 0.8374]], "raw_formation_energy_ev_per_atom": 0.245, "space_group": "P4mm (99)", "crystal_system": "tetragonal"}

=====

5.
{"formula": "RuPbAu2", "functional": "PBE", "state": "relaxed", "lattice": [[-2.0078, 2.0078, 4.7306], [2.0078, -2.0078, 4.7306], [2.0078, 2.0078, -4.7306]], "species": ["Ru", "Pb", "Au", "Au"], "fractional_positions": [[0.0000, 0.0000, 0.0000], [0.5000, 0.5000, 0.0000], [0.2500, 0.7500, 0.5000], [0.7500, 0.2500, 0.5000]], "formation_energy_ev_per_atom": 0.4031, "space_group": "I4/mmm (139)", "crystal_system": "tetragonal"}

=====

6.
{"formula": "Ni4Te3H", "functional": "PBE", "state": "relaxed", "lattice": [[6.8329, 0.0000, 0.0000], [0.0000, 6.5103, 0.0000], [0.0000, 0.0000, 6.2367]], "species": ["Ni", "Ni", "Ni", "Ni", "Ni", "Ni", "Ni", "Ni", "Te", "Te", "Te", "Te", "Te", "Te", "H", "H"], "fractional_positions": [[0.0000, 0.0768, 0.0000], [0.0000, 0.8175, 0.6334], [0.1797, 0.7064, 0.9977], [0.3203, 0.2936, 0.4977], [0.5000, 0.1825, 0.1334], [0.5000, 0.9232, 0.5000], [0.6797, 0.2936, 0.4977], [0.8203, 0.7064, 0.9977], [0.0000, 0.1335, 0.3954], [0.2497, 0.3448, 0.8902], [0.2503, 0.6552, 0.3902], [0.5000, 0.8665, 0.8954], [0.7503, 0.3448, 0.8902], [0.7497, 0.6552, 0.3902], [0.0000, 0.8487, 0.8931], [0.5000, 0.1513, 0.3931]], "energy_ev_per_atom": -4.513, "space_group": "Pmn2_1 (31)", "crystal_system": "orthorhombic"}

=====

Please write out number 3 again, unchanged.
{"formula": "Sr2BTeOs", "functional": "PBE", "state": "relaxed", "lattice": [[5.6656, 0.0000, 0.0000], [0.0000, 5.6656, 0.0000], [0.0000, 0.0000, 4.0650]], "species": ["Sr", "Sr", "B", "Te", "Os"], "fractional_positions": [[0.0000, 0.5000, 0.0000], [0.5000, 0.0000, 0.0000], [0.0000, 0.0000, 0.0000], [0.5000, 0.5000, 0.5000], [0.0000, 0.0000, 0.5000]], "raw_formation_energy_ev_per_atom": -0.210, "space_group": "P4/mmm (123)", "crystal_system": "tetragonal"}

=====

Copy entry 1 word for word.
{"formula": "Tl2CoBr", "functional": "PBE", "state": "relaxed", "lattice": [[3.2634, -1.8879, 0.0000], [3.2634, 1.8879, 0.0000], [-2.1334, 0.0000, 7.9193]], "species": ["Tl", "Tl", "Co", "Br"], "fractional_positions": [[0.2324, 0.2324, 0.2014], [0.7676, 0.7676, 0.7986], [0.5000, 0.5000, 0.0000], [0.0000, 0.0000, 0.5000]], "raw_formation_energy_ev_per_atom": 0.238, "space_group": "C2/m (12)", "e_above_lowest_polymorph_ev_per_atom": 0.1033, "crystal_system": "monoclinic"}